Entry from the Alexandria database: an optimized crystal structure of Li4Cr3Fe5O16 (GGA+U).

Size of the total moment   20.0 μB per formula unit
Calculated total energy   -6.45 eV/atom

a = 5.828 Å, b = 5.871 Å, c = 9.556 Å
α = 88.89°, β = 89.79°, γ = 60.42°
Fractional positions:
Li 0.000 0.000 0.000
Li 0.004 0.001 0.497
Li 0.340 0.332 0.899
Li 0.678 0.672 0.395
Cr 0.171 0.666 0.215
Cr 0.341 0.835 0.714
Cr 0.839 0.826 0.720
Fe 0.169 0.177 0.217
Fe 0.346 0.335 0.491
Fe 0.664 0.665 0.992
Fe 0.665 0.172 0.217
Fe 0.832 0.340 0.716
O 0.001 0.007 0.311
O 0.004 0.992 0.814
O 0.047 0.499 0.345
O 0.178 0.156 0.604
O 0.182 0.674 0.608
O 0.330 0.821 0.103
O 0.342 0.332 0.111
O 0.494 0.481 0.332
O 0.499 0.043 0.336
O 0.516 0.525 0.838
O 0.517 0.963 0.838
O 0.674 0.682 0.607
O 0.684 0.154 0.602
O 0.832 0.320 0.104
O 0.840 0.838 0.112
O 0.967 0.532 0.844